This record from the Open Quantum Materials Database describes crystalline SmGdAg2Sn2 at its relaxed geometry. The functional is PBE. Values from VASP.

Structure (Quantum ESPRESSO input):
```
&SYSTEM
  ibrav = 0, nat = 6, ntyp = 4
/
ATOMIC_SPECIES
Sn 118.71 Sn.upf
Gd 157.25 Gd.upf
Sm 150.36 Sm.upf
Ag 107.87 Ag.upf
ATOMIC_POSITIONS angstrom
Sn 4.391 -1.689 -1.269
Sn -0.098 -2.698 -0.586
Gd 5.254 -1.142 1.762
Sm 1.792 -0.389 0.601
Ag 2.799 -3.327 0.386
Ag 7.227 -2.305 -0.318
CELL_PARAMETERS angstrom
-1.355 -4.409 1.181
1.660 0.889 -4.373
6.918 -1.504 2.320
```

Properties
- Electronic total energy: -4.46 eV per atom
- Crystal system: trigonal

---

This record from the Open Quantum Materials Database describes crystalline KZnBiTe3 at its relaxed geometry. The functional is PBE. Values from VASP.

Structure (Quantum ESPRESSO input):
```
&SYSTEM
  ibrav = 0, nat = 12, ntyp = 4
/
ATOMIC_SPECIES
Te 127.60 Te.upf
Zn 65.41 Zn.upf
Bi 208.98 Bi.upf
K 39.10 K.upf
ATOMIC_POSITIONS angstrom
Te -6.898 -1.918 8.928
Te -1.674 2.434 -1.112
Zn -2.830 2.141 1.287
Bi -1.983 2.619 4.935
Te -6.334 3.301 9.095
K -4.093 -1.902 2.926
Te -4.825 1.309 5.340
Te -3.182 4.426 2.643
Bi 0.000 0.000 0.000
Zn -5.177 3.593 6.696
K -3.915 7.636 5.058
Te -1.110 7.652 -0.945
CELL_PARAMETERS angstrom
0.166 7.255 -3.782
-4.208 -6.757 1.895
-3.965 5.237 9.871
```

Properties
- Electronic total energy: -3.19 eV per atom
- Crystal system: orthorhombic

---

This record from the Open Quantum Materials Database describes crystalline Nd3CdIn2AgPd2 at its relaxed geometry. The functional is PBE. Values from VASP.

Structure (Quantum ESPRESSO input):
```
&SYSTEM
  ibrav = 0, nat = 9, ntyp = 5
/
ATOMIC_SPECIES
Pd 106.42 Pd.upf
Nd 144.24 Nd.upf
Cd 112.41 Cd.upf
Ag 107.87 Ag.upf
In 114.82 In.upf
ATOMIC_POSITIONS angstrom
Pd 1.904 -2.192 4.015
Nd 1.698 0.638 2.702
Cd 1.676 0.075 5.923
Ag 0.004 0.001 0.006
Nd 3.332 -2.845 1.349
In 0.105 -2.305 1.696
Nd -0.931 3.747 2.472
In -1.757 0.575 2.186
Pd -0.544 1.594 4.660
CELL_PARAMETERS angstrom
-2.707 -2.126 2.203
5.678 -4.853 2.293
-1.593 6.388 4.208
```

Properties
- Electronic total energy: -4.40 eV per atom
- Crystal system: orthorhombic